Below is a relaxed structure of Ho3ErZn2, with properties calculated at the PBE-GGA level.

Geometry as POSCAR:
```
Ho3ErZn2
1.0
-2.379 2.112 3.847
-5.904 -1.417 -2.873
-0.165 -7.941 4.257
Ho Er Zn
6 2 4
Cartesian
-3.015 -8.186 2.629 Ho
-5.819 -1.835 -2.591 Ho
-5.162 -1.282 0.750 Ho
-2.317 -5.732 4.952 Ho
-2.011 -3.061 0.437 Ho
-5.021 -6.528 0.478 Ho
-4.329 -4.087 2.805 Er
-1.359 -2.496 3.769 Er
-5.620 -6.724 3.454 Zn
-2.553 -0.456 1.911 Zn
-1.722 -5.547 1.980 Zn
-4.624 -3.878 -0.731 Zn
```

Results
E_form (kJ/mol of formula units): -136
V (Å³/cell): 302
Calculated density (g/cm³): 8.72
Magnetization (μB per formula unit): 0.000
DFT total energy (eV/atom): -3.71
E above lowest polymorph (meV/atom): 0